The following is a DFT calculation (PBE) of KLiCa2Ag after structural relaxation.

a b c (Å): 5.994 4.956 5.994
angles (deg): 90.00 90.00 90.00
Fractional positions:
Ca 0.000 0.000 0.500
Ca 0.500 0.000 0.000
K 0.500 0.500 0.500
Ag 0.000 0.500 0.000
Li 0.000 0.000 0.000

Properties
Energy above the most stable polymorph in this dataset in eV per formula unit: 0.87

=====

The following is a DFT calculation (PBE) of KLiCa2Ag after structural relaxation.

a b c (Å): 5.896 5.896 5.516
angles (deg): 90.00 90.00 90.00
Fractional positions:
Ca 0.000 0.500 0.000
Ca 0.500 0.000 0.000
K 0.500 0.500 0.500
Ag 0.000 0.000 0.000
Li 0.000 0.000 0.500

Properties
Energy above the most stable polymorph in this dataset in eV per formula unit: 0.00

=====

The following is a DFT calculation (PBE) of K2CaMgAg after structural relaxation.

a b c (Å): 7.263 5.562 7.263
angles (deg): 90.00 90.00 90.00
Fractional positions:
Mg 0.500 0.500 0.500
Ca 0.000 0.000 0.000
K 0.000 0.000 0.500
K 0.500 0.000 0.000
Ag 0.000 0.500 0.000

=====

The following is a DFT calculation (PBE) of KNaCa2Ag after structural relaxation.

a b c (Å): 5.903 5.903 6.428
angles (deg): 90.00 90.00 90.00
Fractional positions:
Na 0.500 0.500 0.500
Ca 0.000 0.500 0.000
Ca 0.500 0.000 0.000
K 0.000 0.000 0.500
Ag 0.000 0.000 0.000

Properties
Energy above the most stable polymorph in this dataset in eV per formula unit: 0.21

=====

The following is a DFT calculation (PBE) of KNaCa2Ag after structural relaxation.

a b c (Å): 5.914 5.914 6.043
angles (deg): 90.00 90.00 90.00
Fractional positions:
Na 0.000 0.000 0.500
Ca 0.000 0.500 0.000
Ca 0.500 0.000 0.000
K 0.500 0.500 0.500
Ag 0.000 0.000 0.000

Properties
Energy above the most stable polymorph in this dataset in eV per formula unit: 0.00

=====

The following is a DFT calculation (PBE) of KNa2CaAg after structural relaxation.

a b c (Å): 5.942 5.942 5.882
angles (deg): 90.00 90.00 90.00
Fractional positions:
Na 0.000 0.500 0.000
Na 0.500 0.000 0.000
Ca 0.000 0.000 0.500
K 0.500 0.500 0.500
Ag 0.000 0.000 0.000

=====

| no. | energy relative to the elements (eV per atom) |
| --- | --- |
| 1 | 0.202 |
| 2 | 0.029 |
| 3 | 0.577 |
| 4 | 0.065 |
| 5 | 0.023 |
| 6 | 0.052 |